## K3URh3S8 (GGA-PBE)

Data for a relaxed structure of K3URh3S8.

Cell lengths 7.2246, 7.2246, 22.0900 Å; angles 90.00, 90.00, 120.00 degrees
Space group R-3m (No. 166, hexagonal axes)
One atom of each set of equivalent atoms:
K  0.0000  0.5000  0.0000 x9
U  0.0000  0.0000  0.5000 x3
Rh  0.0000  0.5000  0.5000 x9
S  0.0000  0.0000  0.2207 x6
S  0.0257  0.5129  0.7699 x18

=====

## Te2Pd3 (GGA-PBE)

Data for a relaxed structure of Te2Pd3.

Cell lengths 3.918, 12.839, 8.019 Å; angles 90.00, 90.00, 90.00 degrees
Space group Cmcm (No. 63)
One atom of each set of equivalent atoms:
Te  0.000  0.000  0.000 x4
Te  0.000  0.257  0.250 x4
Pd  0.000  0.337  0.566 x8
Pd  0.000  0.465  0.250 x4

=====

Number 1: raw total energy -249.60 eV/cell. Number 2: raw total energy -94.08 eV/cell.